1.
Entry from Alexandria: a relaxed ZrCdCu crystal (GGA-PBE).

Total magnetization = 0.00 μB per cell
Formation energy = 0.1179 eV per atom
Final energy = -4.40 eV per atom

Cell: 3.033 3.033 7.210 Å, 90.00 90.00 120.00°
Positions (direct):
Zr (0.000, 0.000, 0.000)
Cd (0.667, 0.333, 0.376)
Cu (0.333, 0.667, 0.685)



2.
Entry from Alexandria: a relaxed ZrCd2Cu crystal (GGA-PBE).

Total magnetization = 0.00 μB per cell
Formation energy = 0.1331 eV per atom
Final energy = -3.49 eV per atom

Cell: 5.582 5.582 2.825 Å, 90.00 90.00 114.84°
Positions (direct):
Zr (0.000, 0.000, 0.000)
Cd (0.000, 0.500, 0.500)
Cd (0.500, 0.000, 0.500)
Cu (0.500, 0.500, 0.000)



3.
Entry from Alexandria: a relaxed ZrCd2Cu crystal (GGA-PBE).

Total magnetization = 0.00 μB per cell
Formation energy = 0.0306 eV per atom
Final energy = -3.59 eV per atom

Cell: 4.147 4.147 4.563 Å, 90.00 90.00 90.00°
Positions (direct):
Zr (0.000, 0.000, 0.000)
Cd (0.000, 0.500, 0.500)
Cd (0.500, 0.000, 0.500)
Cu (0.500, 0.500, 0.000)



4.
Entry from Alexandria: a relaxed ZrCd2Cu crystal (GGA-PBE).

Total magnetization = 0.00 μB per cell
Formation energy = -0.0295 eV per atom
Final energy = -3.65 eV per atom

Cell: 3.010 3.231 7.844 Å, 90.00 90.00 90.00°
Positions (direct):
Zr (0.000, 0.000, 0.000)
Cd (0.500, 0.500, 0.285)
Cd (0.500, 0.500, 0.715)
Cu (0.000, 0.000, 0.500)



5.
Entry from Alexandria: a relaxed Zr2CdCu crystal (GGA-PBE).

Total magnetization = 2.92 μB per cell
Formation energy = 0.2521 eV per atom
Final energy = -5.27 eV per atom

Cell: 4.859 4.859 4.859 Å, 60.00 60.00 60.00°
Positions (direct):
Zr (0.000, 0.000, 0.000)
Zr (0.250, 0.250, 0.250)
Cd (0.750, 0.750, 0.750)
Cu (0.500, 0.500, 0.500)



6.
Entry from Alexandria: a relaxed ZrCd2Cu crystal (GGA-PBE).

Total magnetization = 0.00 μB per cell
Formation energy = 0.0721 eV per atom
Final energy = -3.55 eV per atom

Cell: 10.058 10.058 10.058 Å, 17.23 17.23 17.23°
Positions (direct):
Zr (0.000, 0.000, 0.000)
Cd (0.241, 0.241, 0.241)
Cd (0.759, 0.759, 0.759)
Cu (0.500, 0.500, 0.500)



7.
Entry from Alexandria: a relaxed ZrCd2Cu crystal (GGA-PBE).

Total magnetization = 0.00 μB per cell
Formation energy = 0.0583 eV per atom
Final energy = -3.56 eV per atom

Cell: 4.767 4.767 4.767 Å, 60.00 60.00 60.00°
Positions (direct):
Zr (0.000, 0.000, 0.000)
Cd (0.250, 0.250, 0.250)
Cd (0.750, 0.750, 0.750)
Cu (0.500, 0.500, 0.500)



8.
Entry from Alexandria: a relaxed Zr2CdCu crystal (GGA-PBE).

Total magnetization = 0.20 μB per cell
Formation energy = -0.0279 eV per atom
Final energy = -5.55 eV per atom

Cell: 4.271 4.271 4.290 Å, 90.00 90.00 90.00°
Positions (direct):
Zr (0.000, 0.500, 0.000)
Zr (0.500, 0.000, 0.000)
Cd (0.000, 0.000, 0.500)
Cu (0.500, 0.500, 0.500)



9.
Entry from Alexandria: a relaxed Zr2CdCu crystal (GGA-PBE).

Total magnetization = 0.00 μB per cell
Formation energy = -0.0315 eV per atom
Final energy = -5.56 eV per atom

Cell: 5.252 5.252 5.252 Å, 132.11 132.11 70.05°
Positions (direct):
Zr (0.250, 0.750, 0.500)
Zr (0.750, 0.250, 0.500)
Cd (0.000, 0.000, 0.000)
Cu (0.500, 0.500, 0.000)



10.
Entry from Alexandria: a relaxed ZrCd2Cu crystal (GGA-PBE).

Total magnetization = 0.00 μB per cell
Formation energy = 0.0576 eV per atom
Final energy = -3.56 eV per atom

Cell: 5.021 5.021 5.538 Å, 101.52 101.52 35.53°
Positions (direct):
Zr (0.000, 0.000, 0.000)
Cd (0.235, 0.235, 0.707)
Cd (0.476, 0.476, 0.470)
Cu (0.744, 0.744, 0.196)



11.
Entry from Alexandria: a relaxed ZrCd4Cu crystal (GGA-PBE).

Total magnetization = 0.00 μB per cell
Formation energy = 0.2926 eV per atom
Final energy = -2.42 eV per atom

Cell: 5.646 5.646 5.646 Å, 60.00 60.00 60.00°
Positions (direct):
Zr (0.000, 0.000, 0.000)
Cd (0.124, 0.625, 0.625)
Cd (0.625, 0.124, 0.625)
Cd (0.625, 0.625, 0.124)
Cd (0.625, 0.625, 0.625)
Cu (0.250, 0.250, 0.250)



12.
Entry from Alexandria: a relaxed ZrCdCu2 crystal (GGA-PBE).

Total magnetization = 0.00 μB per cell
Formation energy = 0.0803 eV per atom
Final energy = -4.33 eV per atom

Cell: 4.642 4.642 5.653 Å, 97.14 97.14 35.20°
Positions (direct):
Zr (0.000, 0.000, 0.000)
Cd (0.500, 0.500, 0.500)
Cu (0.248, 0.248, 0.753)
Cu (0.752, 0.752, 0.247)